Entry 1:
## Tm2Ga3Ag5 (GGA-PBE)

Data for a geometry-optimized Tm2Ga3Ag5 structure.

a b c (Å): 5.7513 8.8469 8.8469
angles (deg): 87.54 71.03 71.03
Fractional coordinates of all 20 atoms:
Ag (0.1048, 0.0504, 0.7399)
Ag (0.8952, 0.9496, 0.2601)
Ga (0.1325, 0.2291, 0.5059)
Ag (0.5078, 0.2422, 0.2422)
Ga (0.7500, 0.0000, 0.0000)
Ag (0.3952, 0.2601, 0.9496)
Ga (0.3675, 0.4941, 0.7709)
Ag (0.2500, 0.5000, 0.5000)
Ag (0.0078, 0.2422, 0.2422)
Tm (0.8678, 0.4012, 0.8631)
Tm (0.1322, 0.5988, 0.1369)
Ga (0.8675, 0.7709, 0.4941)
Tm (0.3678, 0.8631, 0.4012)
Ga (0.6325, 0.5059, 0.2291)
Ag (0.4922, 0.7578, 0.7578)
Ga (0.2500, 0.0000, 0.0000)
Tm (0.6322, 0.1369, 0.5988)
Ag (0.7500, 0.5000, 0.5000)
Ag (0.9922, 0.7578, 0.7578)
Ag (0.6048, 0.7399, 0.0504)

Values from the calculation:
density of states at the Fermi level = 7.326 states/eV/cell
E_form = -23 kJ/mol of atoms
spin magnetization = 0.00 μB per formula unit

Entry 2:
## ScTlZn3 (GGA-PBE)

Data for a geometry-optimized ScTlZn3 structure.

a b c (Å): 5.0534 5.0534 5.0534
angles (deg): 90.00 90.00 90.00
Fractional coordinates of all 5 atoms:
Zn (0.5000, 0.0000, 0.0000)
Zn (0.0000, 0.0000, 0.5000)
Tl (0.0000, 0.0000, 0.0000)
Zn (0.0000, 0.5000, 0.0000)
Sc (0.5000, 0.5000, 0.5000)

Values from the calculation:
density of states at the Fermi level = 4.716 states/eV/cell
E_form = 65 kJ/mol of atoms
spin magnetization = 0.00 μB per formula unit

Entry 3:
## In2BiO (GGA-PBE)

Data for a geometry-optimized In2BiO structure.

a b c (Å): 5.0486 5.0486 5.0486
angles (deg): 60.00 60.00 60.00
Fractional coordinates of all 4 atoms:
Bi (0.5000, 0.5000, 0.5000)
In (0.7500, 0.7500, 0.7500)
In (0.2500, 0.2500, 0.2500)
O (0.0000, 0.0000, 0.0000)

Values from the calculation:
density of states at the Fermi level = 2.431 states/eV/cell
spin magnetization = 0.27 μB per formula unit
uncorrected formation energy = 0.13 eV per atom

Entry 4:
## Na2PrSbTe4 (GGA-PBE)

Data for a geometry-optimized Na2PrSbTe4 structure.

a b c (Å): 4.5122 7.8625 7.9878
angles (deg): 108.98 90.00 90.00
Fractional coordinates of all 8 atoms:
Pr (0.5000, 0.5000, 0.0000)
Te (0.5000, 0.7647, 0.7669)
Na (0.0000, 0.5000, 0.5000)
Te (0.0000, 0.7551, 0.2371)
Sb (0.0000, 0.0000, 0.0000)
Te (0.0000, 0.2449, 0.7629)
Te (0.5000, 0.2353, 0.2331)
Na (0.5000, 0.0000, 0.5000)

Values from the calculation:
spin magnetization = 0.00 μB per formula unit
uncorrected formation energy = -0.88 eV per atom

Entry 5:
## NpSeI3 (GGA-PBE)

Data for a geometry-optimized NpSeI3 structure.

a b c (Å): 8.0870 7.7554 15.1768
angles (deg): 90.00 96.25 90.00
Fractional coordinates of all 20 atoms:
Se (0.1363, 0.8514, 0.7846)
Se (0.8637, 0.8514, 0.7154)
I (0.7662, 0.3975, 0.6987)
Np (0.0777, 0.6027, 0.6398)
Np (0.9223, 0.6027, 0.8602)
I (0.6202, 0.7524, 0.9165)
I (0.1297, 0.7276, 0.0304)
I (0.2338, 0.6025, 0.3013)
Np (0.9223, 0.3973, 0.3602)
I (0.8703, 0.2724, 0.9696)
Se (0.1363, 0.1486, 0.2846)
Np (0.0777, 0.3973, 0.1398)
I (0.6202, 0.2476, 0.4165)
I (0.8703, 0.7276, 0.4696)
I (0.2338, 0.3975, 0.8013)
I (0.3798, 0.7524, 0.5835)
Se (0.8637, 0.1486, 0.2154)
I (0.3798, 0.2476, 0.0835)
I (0.1297, 0.2724, 0.5304)
I (0.7662, 0.6025, 0.1987)

Values from the calculation:
density of states at the Fermi level = 32.759 states/eV/cell
spin magnetization = 3.00 μB per formula unit
uncorrected formation energy = -0.71 eV per atom

Entry 6:
## CaPm2Nd2Sm2 (GGA-PBE)

Data for a geometry-optimized CaPm2Nd2Sm2 structure.

a b c (Å): 5.2062 6.3665 8.2442
angles (deg): 97.63 90.00 114.13
Fractional coordinates of all 7 atoms:
Sm (0.5754, 0.1508, 0.7052)
Ca (0.0000, 0.0000, 0.0000)
Nd (0.7167, 0.4334, 0.1486)
Nd (0.2833, 0.5666, 0.8514)
Pm (0.8556, 0.7111, 0.5671)
Pm (0.1444, 0.2889, 0.4329)
Sm (0.4246, 0.8492, 0.2948)

Values from the calculation:
density of states at the Fermi level = 10.836 states/eV/cell
E_form = 4 kJ/mol of atoms
spin magnetization = 0.00 μB per formula unit

| no. | raw total energy (eV/cell) |
| --- | --- |
| 1 | -69.31 |
| 2 | -9.15 |
| 3 | -13.80 |
| 4 | -31.15 |
| 5 | -98.54 |
| 6 | -30.16 |